No. 1
First-principles (PBE) data for crystalline Sc2As3 at its relaxed geometry, as listed in the Alexandria database.

a b c (Å): 7.623 5.444 8.093
angles (deg): 65.15 40.40 74.45
Positions (direct):
Sc1 0.260 0.740 0.340
Sc2 0.590 0.910 0.510
Sc3 0.740 0.260 0.660
Sc4 0.910 0.590 0.990
As1 0.107 0.691 0.131
As2 0.119 0.178 0.143
As3 0.178 0.119 0.559
As4 0.438 0.438 0.562
As5 0.688 0.688 0.812
As6 0.691 0.107 0.072

Calculated values
Crystal system ... orthorhombic
Volume ... 19.68 Å³/atom
DOS at the Fermi energy ... 6.09 states/eV per cell
ΔH_f (0 K) ... -425 kJ/mol of formula units
VASP energy ... -6.2041 eV/atom

---

No. 2
First-principles (PBE) data for crystalline ReAg3F at its relaxed geometry, as listed in the Alexandria database.

a b c (Å): 5.154 5.154 5.154
angles (deg): 90.00 90.00 90.00
Positions (direct):
Re1 0.000 0.000 0.000
Ag1 0.000 0.000 0.500
Ag2 0.000 0.500 0.000
Ag3 0.500 0.000 0.000
F1 0.500 0.500 0.500

Calculated values
Crystal system ... cubic
Volume ... 27.38 Å³/atom
DOS at the Fermi energy ... 5.25 states/eV per cell
VASP energy ... -3.1298 eV/atom

---

No. 3
First-principles (PBE) data for crystalline La4AlAg at its relaxed geometry, as listed in the Alexandria database.

a b c (Å): 5.222 5.228 7.563
angles (deg): 90.00 90.10 90.00
Positions (direct):
La1 0.000 0.000 0.243
La2 0.000 0.000 0.757
La3 0.500 0.500 0.244
La4 0.500 0.500 0.756
Al1 0.000 0.500 0.000
Ag1 0.500 0.000 0.500

Calculated values
Crystal system ... monoclinic
Volume ... 34.41 Å³/atom
DOS at the Fermi energy ... 10.88 states/eV per cell
ΔH_f (0 K) ... -8 kJ/mol of formula units
VASP energy ... -4.3980 eV/atom

---

No. 4
First-principles (PBE) data for crystalline La2SbN at its relaxed geometry, as listed in the Alexandria database.

a b c (Å): 5.922 13.000 6.090
angles (deg): 90.00 90.00 90.00
Positions (direct):
La1 0.192 0.106 0.000
La2 0.192 0.894 0.500
La3 0.308 0.394 0.000
La4 0.308 0.606 0.500
La5 0.692 0.394 0.500
La6 0.692 0.606 0.000
La7 0.808 0.106 0.500
La8 0.808 0.894 0.000
Sb1 0.250 0.250 0.500
Sb2 0.250 0.750 0.000
Sb3 0.750 0.250 0.000
Sb4 0.750 0.750 0.500
N1 0.000 0.000 0.250
N2 0.000 0.000 0.750
N3 0.500 0.500 0.250
N4 0.500 0.500 0.750

Calculated values
Crystal system ... orthorhombic
Volume ... 29.30 Å³/atom
DOS at the Fermi energy ... 2.69 states/eV per cell
VASP energy ... -6.7843 eV/atom

---

No. 5
First-principles (PBE) data for crystalline CdFeTe2 at its relaxed geometry, as listed in the Alexandria database.

a b c (Å): 3.303 3.303 30.702
angles (deg): 90.00 90.00 120.00
Positions (direct):
Cd1 0.000 0.000 0.000
Cd2 0.333 0.667 0.667
Cd3 0.667 0.333 0.333
Fe1 0.000 0.000 0.733
Fe2 0.333 0.667 0.399
Fe3 0.667 0.333 0.066
Te1 0.000 0.000 0.242
Te2 0.000 0.000 0.451
Te3 0.333 0.667 0.117
Te4 0.333 0.667 0.909
Te5 0.667 0.333 0.576
Te6 0.667 0.333 0.784

Calculated values
Crystal system ... trigonal
Volume ... 24.17 Å³/atom
DOS at the Fermi energy ... 7.03 states/eV per cell
VASP energy ... -3.7182 eV/atom

---

No. 6
First-principles (PBE) data for crystalline Li3Pa2NiS6 at its relaxed geometry, as listed in the Alexandria database.

a b c (Å): 6.518 6.518 6.558
angles (deg): 99.44 99.44 120.23
Positions (direct):
Li1 0.000 0.000 0.000
Li2 0.336 0.664 0.000
Li3 0.664 0.336 0.000
Pa1 0.168 0.832 0.500
Pa2 0.832 0.168 0.500
Ni1 0.500 0.500 0.500
S1 0.092 0.416 0.248
S2 0.260 0.260 0.745
S3 0.416 0.092 0.248
S4 0.584 0.908 0.752
S5 0.740 0.740 0.255
S6 0.908 0.584 0.752

Calculated values
Crystal system ... monoclinic
Volume ... 18.94 Å³/atom
DOS at the Fermi energy ... 9.28 states/eV per cell
VASP energy ... -5.8718 eV/atom

---

No. 7
First-principles (PBE) data for crystalline PrMgInPt at its relaxed geometry, as listed in the Alexandria database.

a b c (Å): 7.151 7.151 7.151
angles (deg): 90.00 90.00 90.00
Positions (direct):
Pr1 0.000 0.000 0.000
Pr2 0.000 0.500 0.500
Pr3 0.500 0.000 0.500
Pr4 0.500 0.500 0.000
Mg1 0.000 0.000 0.500
Mg2 0.000 0.500 0.000
Mg3 0.500 0.000 0.000
Mg4 0.500 0.500 0.500
In1 0.250 0.250 0.750
In2 0.250 0.750 0.250
In3 0.750 0.250 0.250
In4 0.750 0.750 0.750
Pt1 0.250 0.250 0.250
Pt2 0.250 0.750 0.750
Pt3 0.750 0.250 0.750
Pt4 0.750 0.750 0.250

Calculated values
Crystal system ... cubic
Volume ... 22.86 Å³/atom
DOS at the Fermi energy ... 7.04 states/eV per cell
ΔH_f (0 K) ... -230 kJ/mol of formula units
VASP energy ... -4.3855 eV/atom

---

No. 8
First-principles (PBE) data for crystalline Rb6Sm3Br14 at its relaxed geometry, as listed in the Alexandria database.

a b c (Å): 12.183 12.183 7.710
angles (deg): 90.00 90.00 120.00
Positions (direct):
Rb1 0.026 0.554 0.000
Rb2 0.289 0.093 0.533
Rb3 0.446 0.471 0.000
Rb4 0.529 0.974 0.000
Rb5 0.804 0.711 0.533
Rb6 0.907 0.196 0.533
Sm1 0.000 0.000 0.972
Sm2 0.333 0.667 0.440
Sm3 0.667 0.333 0.346
Br1 0.000 0.000 0.335
Br2 0.080 0.847 0.810
Br3 0.153 0.233 0.810
Br4 0.191 0.433 0.285
Br5 0.242 0.809 0.285
Br6 0.333 0.667 0.803
Br7 0.443 0.198 0.132
Br8 0.527 0.418 0.557
Br9 0.567 0.758 0.285
Br10 0.582 0.108 0.557
Br11 0.754 0.557 0.132
Br12 0.767 0.920 0.810
Br13 0.802 0.246 0.132
Br14 0.892 0.473 0.557

Calculated values
Crystal system ... trigonal
Volume ... 43.09 Å³/atom
DOS at the Fermi energy ... 10.78 states/eV per cell
VASP energy ... -3.6140 eV/atom

---

No. 9
First-principles (PBE) data for crystalline TcPt4Au at its relaxed geometry, as listed in the Alexandria database.

a b c (Å): 2.792 3.982 8.531
angles (deg): 90.00 90.00 90.00
Positions (direct):
Tc1 0.000 0.000 0.000
Pt1 0.000 0.000 0.321
Pt2 0.000 0.000 0.679
Pt3 0.500 0.500 0.157
Pt4 0.500 0.500 0.843
Au1 0.500 0.500 0.500

Calculated values
Crystal system ... orthorhombic
Volume ... 15.81 Å³/atom
DOS at the Fermi energy ... 4.94 states/eV per cell
ΔH_f (0 K) ... -35 kJ/mol of formula units
VASP energy ... -6.3608 eV/atom

---

No. 10
First-principles (PBE) data for crystalline Tb4Pm8Pr3 at its relaxed geometry, as listed in the Alexandria database.

a b c (Å): 9.344 9.344 6.935
angles (deg): 111.78 111.78 82.10
Positions (direct):
Tb1 0.000 0.000 0.000
Tb2 0.000 0.000 0.500
Tb3 0.000 0.500 0.000
Tb4 0.500 0.000 0.000
Pm1 0.247 0.247 0.242
Pm2 0.247 0.753 0.500
Pm3 0.296 0.296 0.794
Pm4 0.296 0.704 0.000
Pm5 0.704 0.296 0.000
Pm6 0.704 0.704 0.206
Pm7 0.753 0.247 0.500
Pm8 0.753 0.753 0.758
Pr1 0.000 0.500 0.500
Pr2 0.500 0.000 0.500
Pr3 0.500 0.500 0.500

Calculated values
Crystal system ... monoclinic
Volume ... 34.81 Å³/atom
DOS at the Fermi energy ... 24.64 states/eV per cell
ΔH_f (0 K) ... 474 kJ/mol of formula units
VASP energy ... -4.3971 eV/atom

---

No. 11
First-principles (PBE) data for crystalline Ca2MnCr at its relaxed geometry, as listed in the Alexandria database.

a b c (Å): 4.650 3.949 11.895
angles (deg): 90.00 90.00 90.00
Positions (direct):
Ca1 0.000 0.000 0.000
Ca2 0.000 0.500 0.500
Ca3 0.500 0.000 0.301
Ca4 0.500 0.500 0.801
Mn1 0.000 0.000 0.715
Mn2 0.000 0.500 0.215
Cr1 0.500 0.000 0.585
Cr2 0.500 0.500 0.085

Calculated values
Crystal system ... orthorhombic
Volume ... 27.31 Å³/atom
DOS at the Fermi energy ... 8.91 states/eV per cell
ΔH_f (0 K) ... 242 kJ/mol of formula units
VASP energy ... -5.0719 eV/atom

---

No. 12
First-principles (PBE) data for crystalline Pa2Sb at its relaxed geometry, as listed in the Alexandria database.

a b c (Å): 5.995 5.995 5.995
angles (deg): 60.00 60.00 60.00
Positions (direct):
Pa1 0.000 0.000 0.000
Pa2 0.000 0.000 0.500
Pa3 0.000 0.500 0.000
Pa4 0.500 0.000 0.000
Sb1 0.375 0.375 0.375
Sb2 0.625 0.625 0.625

Calculated values
Crystal system ... cubic
Volume ... 25.39 Å³/atom
DOS at the Fermi energy ... 14.60 states/eV per cell
VASP energy ... -7.6967 eV/atom